Ce2MgBr6: relaxed, PBE.

Lattice parameters (Å, degrees): 14.7556 4.0120 12.1800 90.00 119.89 90.00
Closest atoms and distances in Å follow each position.
Space group C2/m (No. 12)
Unique sites:
Ce (0.1800, 0.0000, 0.2873) x4  7 Br 3.00-3.18
Mg (0.0000, 0.5000, 0.0000) x2  4 Br 2.71-2.73
Br (0.0107, 0.5000, 0.2302) x4  1 Mg 2.73, 2 Ce 3.00
Br (0.1592, 0.0000, 0.5348) x4  3 Ce 3.04-3.18
Br (0.2116, 0.5000, 0.1233) x4  1 Mg 2.71, 2 Ce 3.03

Properties
Its total DFT energy (no corrections) is -4.14 eV per atom. The formation energy without anion corrections comes out at -1.532 eV per atom.